VASP calculation (PBE) on a relaxed AlRe2NiAu crystal.

- E: -5.264 eV per atom
- Symmetry: P4/mmm (123)

abc: 4.8915 4.5872 4.8915
angles: 90.00 90.00 90.00
Fractional coordinates of all 5 atoms:
Ni (0.0000, 0.5000, 0.0000)
Al (0.5000, 0.5000, 0.5000)
Au (0.0000, 0.0000, 0.0000)
Re (0.5000, 0.0000, 0.0000)
Re (0.0000, 0.0000, 0.5000)